Entry 1:
4
Lattice="4.487 0.000 0.000 2.243 3.886 0.000 0.000 0.000 5.769" Properties=species:S:1:pos:R:3 comment="Ce2OsAu (PBE-GGA, relaxed)" sg="P-3m1, No. 164" pbc="T T T"
Au 0.000 0.000 2.885
Ce 4.487 2.590 1.254
Ce 2.243 1.295 4.515
Os 0.000 0.000 0.000

Entry 2:
12
Lattice="0.480 -5.265 -2.563 -0.085 -3.139 6.432 -7.152 2.880 -0.521" Properties=species:S:1:pos:R:3 comment="Ce3OsAu2 (PBE-GGA, relaxed)" sg="C2/c, No. 15" pbc="T T T"
Os 0.047 -1.530 1.245
Os 0.349 -6.874 2.623
Au -2.129 -3.595 1.671
Au -1.986 -3.135 -2.085
Au -4.771 -2.389 5.432
Au -4.627 -1.929 1.676
Ce 0.107 -4.222 3.915
Ce -4.599 -4.645 3.327
Ce -4.458 -4.155 -0.414
Ce -2.158 -0.879 0.020
Ce -2.298 -1.369 3.761
Ce 0.289 -4.182 -0.046

Entry 3:
19
Lattice="7.779 0.321 0.384 -0.862 7.738 0.384 -0.862 -1.005 7.682" Properties=species:S:1:pos:R:3 comment="Ce12OsAu6 (PBE-GGA, relaxed)" sg="R-3, No. 148" pbc="T T T"
Ce 0.593 2.820 0.437
Ce 5.654 4.106 4.059
Ce -0.163 0.575 2.853
Ce 3.201 2.883 6.836
Ce 0.400 2.947 4.391
Ce 3.689 0.971 3.685
Ce 2.365 6.083 4.765
Ce 5.461 4.233 8.012
Ce 2.698 0.249 1.075
Ce 6.217 6.479 5.596
Ce 3.356 6.804 7.374
Ce 2.853 4.170 1.613
Au 1.394 0.391 5.871
Au 0.625 4.810 7.016
Au 5.429 2.243 1.434
Au 4.660 6.662 2.579
Au 0.175 5.520 2.463
Au 5.879 1.534 5.987
Os 0.000 0.000 0.000

Number 1: formation energy -0.3702 eV/atom, energy -27.9 eV/cell. Number 2: formation energy -0.4329 eV/atom, energy -76.4 eV/cell. Number 3: formation energy -0.3156 eV/atom, energy -108.1 eV/cell.